1.
This record from Alexandria via LeMat-Bulk describes a relaxed structure of CsTePd3. The functional is PBE-GGA.

The total energy is -13.57 eV for the cell shown. The value obtained for the formation energy from raw total energies is 1.2015 eV per atom. For the density of states at the Fermi level, the calculation gives 5.0 states/eV/f.u. The energy above the lowest structure with this stoichiometry comes out at 1.249 eV/atom.

The structure belongs to space group Pm-3m (No. 221); the cell edges are 5.2655, 5.2655 and 5.2655 Å and the angles 90.00°, 90.00° and 90.00°. Symmetry generates all atoms from Cs at (0.0000, 0.0000, 0.0000), Te at (0.5000, 0.5000, 0.5000) and Pd at (0.0000, 0.0000, 0.5000).



2.
This record from Alexandria via LeMat-Bulk describes a relaxed structure of KUTe2O8. The functional is PBE-GGA.

The total energy is -319.28 eV for the cell shown. The value obtained for the formation energy from raw total energies is -1.7904 eV per atom. For the density of states at the Fermi level, the calculation gives 0.9 states/eV/f.u. The energy above the lowest structure with this stoichiometry comes out at 0.000 eV/atom.

The structure belongs to space group Cmcm (No. 63); the cell edges are 7.7985, 9.1217 and 11.9988 Å and the angles 90.00°, 90.00° and 90.00°. Symmetry generates all atoms from K at (0.0000, 0.0000, 0.0000), U at (0.0000, 0.5000, 0.0000), Te at (0.2462, 0.3321, 0.2500), O at (0.0000, 0.1022, 0.7500), O at (0.0000, 0.2531, 0.2500), O at (0.0000, 0.3028, 0.5337) and O at (0.2058, 0.4643, 0.1309).



3.
This record from Alexandria via LeMat-Bulk describes a relaxed structure of IrPb. The functional is PBE-GGA.

The total energy is -45.15 eV for the cell shown. For the density of states at the Fermi level, the calculation gives 0.8 states/eV/f.u. As for the energy of formation from the pure elements: 124 kJ/mol of formula units.

The structure belongs to space group Fm-3m (No. 225); the cell edges are 5.5631, 5.5631 and 5.5631 Å and the angles 90.00°, 90.00° and 90.00°. Symmetry generates all atoms from Ir at (0.0000, 0.0000, 0.0000) and Pb at (0.0000, 0.0000, 0.5000).



4.
This record from Alexandria via LeMat-Bulk describes a relaxed structure of Sc3Te. The functional is PBE-GGA.

The total energy is -95.30 eV for the cell shown. The value obtained for the formation energy from raw total energies is -0.4220 eV per atom. For the density of states at the Fermi level, the calculation gives 4.7 states/eV/f.u. The energy above the lowest structure with this stoichiometry comes out at 0.180 eV/atom.

The structure belongs to space group I4/mmm (No. 139); the cell edges are 4.3555, 4.3555 and 19.2739 Å and the angles 90.00°, 90.00° and 90.00°. Symmetry generates all atoms from Sc at (0.0000, 0.0000, 0.1247), Sc at (0.0000, 0.5000, 0.0000), Sc at (0.0000, 0.5000, 0.2500) and Te at (0.0000, 0.0000, 0.3800).



5.
This record from Alexandria via LeMat-Bulk describes a relaxed structure of RbTlSb3. The functional is PBE-GGA.

The total energy is -13.57 eV for the cell shown. The value obtained for the formation energy from raw total energies is 0.4260 eV per atom. For the density of states at the Fermi level, the calculation gives 6.0 states/eV/f.u. The energy above the lowest structure with this stoichiometry comes out at 0.562 eV/atom.

The structure belongs to space group Pm-3m (No. 221); the cell edges are 5.8717, 5.8717 and 5.8717 Å and the angles 90.00°, 90.00° and 90.00°. Symmetry generates all atoms from Rb at (0.0000, 0.0000, 0.0000), Tl at (0.5000, 0.5000, 0.5000) and Sb at (0.0000, 0.5000, 0.5000).



6.
This record from Alexandria via LeMat-Bulk describes a relaxed structure of CaO. The functional is PBE-GGA.

The total energy is -50.06 eV for the cell shown. The value obtained for the formation energy from raw total energies is -2.7775 eV per atom. For the density of states at the Fermi level, the calculation gives 0.0 states/eV/f.u.

The structure belongs to space group F-43m (No. 216); the cell edges are 5.2516, 5.2516 and 5.2516 Å and the angles 90.00°, 90.00° and 90.00°. Symmetry generates all atoms from Ca at (0.0000, 0.0000, 0.0000) and O at (0.2500, 0.2500, 0.2500).



7.
This record from Alexandria via LeMat-Bulk describes a relaxed structure of Ce2CrPt9. The functional is PBE-GGA.

The total energy is -84.39 eV for the cell shown. For the density of states at the Fermi level, the calculation gives 9.4 states/eV/f.u. As for the energy of formation from the pure elements: -823 kJ/mol of formula units.

The structure belongs to space group P4/mmm (No. 123); the cell edges are 4.1027, 4.1027 and 12.2349 Å and the angles 90.00°, 90.00° and 90.00°. Symmetry generates all atoms from Ce at (0.0000, 0.0000, 0.1744), Cr at (0.0000, 0.0000, 0.5000), Pt at (0.0000, 0.5000, 0.0000), Pt at (0.0000, 0.5000, 0.3446), Pt at (0.5000, 0.5000, 0.1727) and Pt at (0.5000, 0.5000, 0.5000).



8.
This record from Alexandria via LeMat-Bulk describes a relaxed structure of BiTeMo2. The functional is PBE-GGA.

The total energy is -105.80 eV for the cell shown. The value obtained for the formation energy from raw total energies is 0.5590 eV per atom. For the density of states at the Fermi level, the calculation gives 4.5 states/eV/f.u. The energy above the lowest structure with this stoichiometry comes out at 0.000 eV/atom.

The structure belongs to space group Fm-3m (No. 225); the cell edges are 6.7650, 6.7650 and 6.7650 Å and the angles 90.00°, 90.00° and 90.00°. Symmetry generates all atoms from Bi at (0.0000, 0.0000, 0.0000), Te at (0.0000, 0.0000, 0.5000) and Mo at (0.2500, 0.2500, 0.2500).



9.
This record from Alexandria via LeMat-Bulk describes a relaxed structure of TlTeO3. The functional is PBE-GGA.

The total energy is -24.17 eV for the cell shown. The value obtained for the formation energy from raw total energies is -0.7576 eV per atom. For the density of states at the Fermi level, the calculation gives 1.4 states/eV/f.u.

The structure belongs to space group Pm-3m (No. 221); the cell edges are 4.1419, 4.1419 and 4.1419 Å and the angles 90.00°, 90.00° and 90.00°. Symmetry generates all atoms from Tl at (0.0000, 0.0000, 0.0000), Te at (0.5000, 0.5000, 0.5000) and O at (0.0000, 0.5000, 0.5000).



10.
This record from Alexandria via LeMat-Bulk describes a relaxed structure of GaPtPb. The functional is PBE-GGA.

The total energy is -54.78 eV for the cell shown. For the density of states at the Fermi level, the calculation gives 1.1 states/eV/f.u. As for the energy of formation from the pure elements: -89 kJ/mol of formula units.

The structure belongs to space group F-43m (No. 216); the cell edges are 6.4602, 6.4602 and 6.4602 Å and the angles 90.00°, 90.00° and 90.00°. Symmetry generates all atoms from Ga at (0.0000, 0.0000, 0.0000), Pt at (0.2500, 0.2500, 0.7500) and Pb at (0.0000, 0.0000, 0.5000).



11.
This record from Alexandria via LeMat-Bulk describes a relaxed structure of BeNb3H. The functional is PBE-GGA.

The total energy is -37.17 eV for the cell shown. For the density of states at the Fermi level, the calculation gives 6.0 states/eV/f.u. The energy above the lowest structure with this stoichiometry comes out at 0.000 eV/atom.

The structure belongs to space group Pm-3m (No. 221); the cell edges are 4.0893, 4.0893 and 4.0893 Å and the angles 90.00°, 90.00° and 90.00°. Symmetry generates all atoms from Be at (0.0000, 0.0000, 0.0000), Nb at (0.0000, 0.5000, 0.5000) and H at (0.5000, 0.5000, 0.5000).



12.
This record from Alexandria via LeMat-Bulk describes a relaxed structure of LiTaSbRu2. The functional is PBE-GGA.

The total energy is -31.01 eV for the cell shown. The value obtained for the formation energy from raw total energies is 1.0870 eV per atom. For the density of states at the Fermi level, the calculation gives 4.3 states/eV/f.u.

The structure belongs to space group P4/mmm (No. 123); the cell edges are 4.6900, 4.6900 and 4.8537 Å and the angles 90.00°, 90.00° and 90.00°. Symmetry generates all atoms from Li at (0.0000, 0.0000, 0.0000), Ta at (0.0000, 0.0000, 0.5000), Sb at (0.5000, 0.5000, 0.0000) and Ru at (0.0000, 0.5000, 0.5000).



13.
This record from Alexandria via LeMat-Bulk describes a relaxed structure of MnCo2Pt. The functional is PBE-GGA.

The total energy is -29.57 eV for the cell shown. For the density of states at the Fermi level, the calculation gives 4.7 states/eV/f.u. As for the energy of formation from the pure elements: -14 kJ/mol of formula units.

The structure belongs to space group P2/m (No. 10); the cell edges are 4.4714, 2.7002 and 4.4980 Å and the angles 90.00°, 107.39° and 90.00°. Symmetry generates all atoms from Mn at (0.0000, 0.0000, 0.0000), Co at (0.0000, 0.5000, 0.5000), Co at (0.5000, 0.0000, 0.5000) and Pt at (0.5000, 0.5000, 0.0000).



14.
This record from Alexandria via LeMat-Bulk describes a relaxed structure of YTm2AlC. The functional is PBE-GGA.

The total energy is -30.58 eV for the cell shown. For the density of states at the Fermi level, the calculation gives 1.0 states/eV/f.u. As for the energy of formation from the pure elements: -213 kJ/mol of formula units.

The structure belongs to space group P4/mmm (No. 123); the cell edges are 4.8039, 4.8039 and 4.8854 Å and the angles 90.00°, 90.00° and 90.00°. Symmetry generates all atoms from Y at (0.0000, 0.0000, 0.0000), Tm at (0.0000, 0.5000, 0.5000), Al at (0.5000, 0.5000, 0.0000) and C at (0.0000, 0.0000, 0.5000).



15.
This record from Alexandria via LeMat-Bulk describes a relaxed structure of Ba2Li5Ag12. The functional is PBE-GGA.

The total energy is -153.86 eV for the cell shown. For the density of states at the Fermi level, the calculation gives 5.7 states/eV/f.u. As for the energy of formation from the pure elements: -353 kJ/mol of formula units.

The structure belongs to space group R-3m (No. 166, hexagonal axes); the cell edges are 9.7441, 9.7441 and 14.2713 Å and the angles 90.00°, 90.00° and 120.00°. Symmetry generates all atoms from Ba at (0.0000, 0.0000, 0.1474), Li at (0.0000, 0.0000, 0.4102), Li at (0.0000, 0.5000, 0.0000), Ag at (0.0000, 0.2939, 0.5000) and Ag at (0.0163, 0.5081, 0.3449).



16.
This record from Alexandria via LeMat-Bulk describes a relaxed structure of CaSm2Pd2. The functional is PBE-GGA.

The total energy is -50.30 eV for the cell shown. For the density of states at the Fermi level, the calculation gives 3.9 states/eV/f.u. The energy above the lowest structure with this stoichiometry comes out at 0.000 eV/atom. As for the energy of formation from the pure elements: -321 kJ/mol of formula units.

The structure belongs to space group P4/mbm (No. 127); the cell edges are 7.9740, 7.9740 and 4.0168 Å and the angles 90.00°, 90.00° and 90.00°. Symmetry generates all atoms from Ca at (0.0000, 0.0000, 0.0000), Sm at (0.1623, 0.3377, 0.5000) and Pd at (0.1312, 0.6312, 0.0000).



17.
This record from Alexandria via LeMat-Bulk describes a relaxed structure of Sr3Dy2HfAs6. The functional is PBE-GGA.

The total energy is -132.33 eV for the cell shown. For the density of states at the Fermi level, the calculation gives 7.3 states/eV/f.u. As for the energy of formation from the pure elements: -1357 kJ/mol of formula units.

The structure belongs to space group C2/m (No. 12); the cell edges are 7.2330, 12.5323 and 7.5331 Å and the angles 90.00°, 108.70° and 90.00°. Symmetry generates all atoms from Sr at (0.0000, 0.0000, 0.0000), Sr at (0.0000, 0.3296, 0.0000), Dy at (0.0000, 0.1661, 0.5000), Hf at (0.0000, 0.5000, 0.5000), As at (0.2314, 0.3406, 0.7164) and As at (0.2451, 0.5000, 0.2818).



18.
This record from Alexandria via LeMat-Bulk describes a relaxed structure of RbPt2Rh. The functional is PBE-GGA.

The total energy is -74.95 eV for the cell shown. For the density of states at the Fermi level, the calculation gives 3.1 states/eV/f.u. The energy above the lowest structure with this stoichiometry comes out at 0.000 eV/atom. As for the energy of formation from the pure elements: 161 kJ/mol of formula units.

The structure belongs to space group I-42d (No. 122); the cell edges are 5.2749, 5.2749 and 16.7202 Å and the angles 90.00°, 90.00° and 90.00°. Symmetry generates all atoms from Rb at (0.0000, 0.0000, 0.0000), Pt at (0.0346, 0.2500, 0.6250) and Rh at (0.0000, 0.0000, 0.5000).



19.
This record from Alexandria via LeMat-Bulk describes a relaxed structure of HfMg. The functional is PBE-GGA.

The total energy is -11.17 eV for the cell shown. For the density of states at the Fermi level, the calculation gives 2.5 states/eV/f.u. As for the energy of formation from the pure elements: 37 kJ/mol of formula units.

The structure belongs to space group P4/mmm (No. 123); the cell edges are 3.1222, 3.1222 and 4.4446 Å and the angles 90.00°, 90.00° and 90.00°. Symmetry generates all atoms from Hf at (0.0000, 0.0000, 0.0000) and Mg at (0.5000, 0.5000, 0.5000).



20.
This record from Alexandria via LeMat-Bulk describes a relaxed structure of NdSmGa3. The functional is PBE-GGA.

The total energy is -87.18 eV for the cell shown. For the density of states at the Fermi level, the calculation gives 3.3 states/eV/f.u. The energy above the lowest structure with this stoichiometry comes out at 0.013 eV/atom. As for the energy of formation from the pure elements: -311 kJ/mol of formula units.

The structure belongs to space group Cmcm (No. 63); the cell edges are 4.3150, 26.2204 and 4.2297 Å and the angles 90.00°, 90.00° and 90.00°. Symmetry generates all atoms from Nd at (0.0000, 0.2029, 0.2500), Sm at (0.0000, 0.0714, 0.7500), Ga at (0.0000, 0.3285, 0.2500), Ga at (0.0000, 0.3827, 0.7500) and Ga at (0.0000, 0.4766, 0.7500).